[1]
{
  "formula": "La6GaRu2",
  "functional": "PBE",
  "state": "relaxed",
  "cell": [[-5.228, 0.048, -1.772], [0.632, -1.728, 6.687], [1.265, 8.899, -3.489]],
  "species": ["La", "La", "La", "La", "Ru", "Ru", "La", "La", "Ga"],
  "frac_coords": [[0.997, 0.994, 0.836], [0.632, 0.265, 0.490], [0.368, 0.735, 0.510], [0.003, 0.006, 0.164], [0.281, 0.561, 0.191], [0.719, 0.439, 0.809], [0.714, 0.428, 0.128], [0.286, 0.572, 0.872], [0.000, 0.000, 0.500]],
  "e_above_lowest_polymorph_mev_per_atom": 66.7,
  "formation_enthalpy_0k_kj_per_mol_fu": -191,
  "sg": "No. 12"
}



[2]
{
  "formula": "Ba2NaIrO4",
  "functional": "PBE",
  "state": "relaxed",
  "cell": [[5.715, 0.156, 0.239], [-2.294, 5.237, -0.239], [-2.294, -2.326, 4.698]],
  "species": ["Ba", "Ba", "O", "O", "O", "Na", "Ir", "O"],
  "frac_coords": [[0.500, 0.750, 0.250], [0.000, 0.000, 0.000], [0.433, 0.768, 0.700], [0.067, 0.300, 0.732], [0.567, 0.268, 0.335], [0.500, 0.250, 0.750], [0.000, 0.500, 0.500], [0.933, 0.665, 0.232]],
  "raw_formation_energy_mev_per_atom": -1679,
  "sg": "No. 82"
}



[3]
{
  "formula": "Na2TmSi3Au12",
  "functional": "PBE",
  "state": "relaxed",
  "cell": [[-3.010, -2.585, -6.437], [4.678, -5.370, -2.541], [-3.244, -6.624, 1.667]],
  "species": ["Tm", "Si", "Na", "Au", "Au", "Au", "Au", "Au", "Au", "Au", "Na", "Au", "Au", "Au", "Au", "Si", "Si", "Au"],
  "frac_coords": [[0.000, 0.000, 0.000], [0.000, 0.500, 0.000], [0.415, 0.415, 0.415], [0.696, 0.696, 0.142], [0.165, 0.165, 0.613], [0.835, 0.387, 0.835], [0.387, 0.835, 0.835], [0.304, 0.858, 0.304], [0.304, 0.304, 0.858], [0.696, 0.142, 0.696], [0.585, 0.585, 0.585], [0.165, 0.613, 0.165], [0.835, 0.835, 0.387], [0.613, 0.165, 0.165], [0.858, 0.304, 0.304], [0.500, 0.000, 0.000], [0.000, 0.000, 0.500], [0.142, 0.696, 0.696]],
  "raw_formation_energy_mev_per_atom": -80,
  "sg": "No. 166"
}



[4]
{
  "formula": "FeCu2Si",
  "functional": "PBE",
  "state": "relaxed",
  "cell": [[2.579, 0.073, 0.000], [-0.064, 2.579, 0.000], [0.000, 0.000, 7.163]],
  "species": ["Fe", "Si", "Cu", "Cu"],
  "frac_coords": [[0.000, 0.000, 0.510], [0.500, 0.500, 0.742], [0.500, 0.500, 0.254], [0.000, 0.000, 0.994]],
  "raw_formation_energy_mev_per_atom": 22,
  "sg": "No. 35"
}



[5]
{
  "formula": "CaNbI2N",
  "functional": "PBE",
  "state": "relaxed",
  "cell": [[5.971, 0.000, 0.000], [0.000, 5.971, 0.000], [0.000, 0.000, 4.451]],
  "species": ["Nb", "I", "N", "I", "Ca"],
  "frac_coords": [[0.500, 0.500, 0.500], [0.000, 0.500, 0.000], [0.000, 0.000, 0.500], [0.500, 0.000, 0.000], [0.000, 0.000, 0.000]],
  "e_above_lowest_polymorph_mev_per_atom": 1136.5,
  "raw_formation_energy_mev_per_atom": 795,
  "sg": "No. 123"
}



[6]
{
  "formula": "SeSN2Cl",
  "functional": "PBE",
  "state": "relaxed",
  "cell": [[3.596, 0.000, 0.000], [0.000, 3.596, 0.000], [0.000, 0.000, 7.264]],
  "species": ["Se", "N", "N", "Cl", "S"],
  "frac_coords": [[0.500, 0.500, 0.500], [0.000, 0.500, 0.000], [0.500, 0.000, 0.000], [0.000, 0.000, 0.000], [0.000, 0.000, 0.500]],
  "e_above_lowest_polymorph_mev_per_atom": 627.2,
  "raw_formation_energy_mev_per_atom": 2135,
  "sg": "No. 123"
}



[7]
{
  "formula": "Er3Zn8Ag3",
  "functional": "PBE",
  "state": "relaxed",
  "cell": [[4.363, 0.000, 0.000], [2.181, 7.972, 0.404], [2.181, 2.559, 7.561]],
  "species": ["Zn", "Zn", "Zn", "Zn", "Zn", "Ag", "Ag", "Zn", "Er", "Er", "Zn", "Zn", "Ag", "Er"],
  "frac_coords": [[0.171, 0.192, 0.467], [0.171, 0.467, 0.192], [0.362, 0.361, 0.914], [0.362, 0.914, 0.361], [0.829, 0.808, 0.533], [0.500, 0.000, 0.000], [0.000, 0.210, 0.790], [0.638, 0.639, 0.086], [0.500, 0.500, 0.500], [0.801, 0.199, 0.199], [0.829, 0.533, 0.808], [0.638, 0.086, 0.639], [0.000, 0.790, 0.210], [0.199, 0.801, 0.801]],
  "formation_enthalpy_0k_kj_per_mol_fu": -386,
  "sg": "No. 71"
}



[8]
{
  "formula": "TiMn3B",
  "functional": "PBE",
  "state": "relaxed",
  "cell": [[-3.157, 2.036, -2.303], [0.535, -2.888, -3.285], [-3.027, -2.634, 1.822]],
  "species": ["B", "Mn", "Mn", "Mn", "Ti"],
  "frac_coords": [[0.500, 0.500, 0.500], [0.000, 0.000, 0.500], [0.000, 0.500, 0.000], [0.500, 0.000, 0.000], [0.000, 0.000, 0.000]],
  "e_above_lowest_polymorph_mev_per_atom": 1979.1,
  "formation_enthalpy_0k_kj_per_mol_fu": 905,
  "sg": "No. 221"
}



[9]
{
  "formula": "K2Cr2Co",
  "functional": "PBE",
  "state": "relaxed",
  "cell": [[-3.677, 3.369, -8.608], [-9.225, -1.920, 3.189], [-0.166, 2.621, 1.097]],
  "species": ["Co", "K", "Cr", "Cr", "Co", "K", "Cr", "K", "Cr", "K"],
  "frac_coords": [[0.500, 0.500, 0.000], [0.281, 0.219, 0.500], [0.062, 0.438, 0.000], [0.938, 0.562, 0.000], [0.000, 0.000, 0.000], [0.719, 0.781, 0.500], [0.438, 0.938, 0.000], [0.781, 0.281, 0.500], [0.562, 0.062, 0.000], [0.219, 0.719, 0.500]],
  "e_above_lowest_polymorph_mev_per_atom": 0.0,
  "formation_enthalpy_0k_kj_per_mol_fu": 758,
  "sg": "No. 127"
}



[10]
{
  "formula": "HgTeIr2",
  "functional": "PBE",
  "state": "relaxed",
  "cell": [[-2.842, -3.817, 0.297], [2.396, -1.853, -0.885], [1.325, -0.607, 4.878]],
  "species": ["Ir", "Te", "Hg", "Ir"],
  "frac_coords": [[0.500, 0.375, 0.218], [0.000, 0.375, 0.470], [0.500, 0.875, 0.746], [0.000, 0.875, 0.066]],
  "e_above_lowest_polymorph_mev_per_atom": 90.0,
  "raw_formation_energy_mev_per_atom": 498,
  "sg": "No. 25"
}



[11]
{
  "formula": "Pr2Dy3Sc2",
  "functional": "PBE",
  "state": "relaxed",
  "cell": [[-4.667, 1.754, 0.296], [1.547, -3.752, 4.482], [2.709, 6.668, 3.202]],
  "species": ["Pr", "Dy", "Sc", "Pr", "Dy", "Sc", "Dy"],
  "frac_coords": [[0.074, 0.147, 0.725], [0.356, 0.712, 0.570], [0.215, 0.430, 0.141], [0.926, 0.853, 0.275], [0.644, 0.288, 0.430], [0.785, 0.570, 0.859], [0.500, 0.000, 0.000]],
  "e_above_lowest_polymorph_mev_per_atom": 15.3,
  "formation_enthalpy_0k_kj_per_mol_fu": 34,
  "sg": "No. 12"
}



[12]
{
  "formula": "LiHo2Al3",
  "functional": "PBE",
  "state": "relaxed",
  "cell": [[5.480, -0.638, -1.682], [-1.564, 5.290, -1.682], [0.531, 0.631, 8.669]],
  "species": ["Al", "Al", "Li", "Ho", "Li", "Al", "Al", "Ho", "Al", "Al", "Ho", "Ho"],
  "frac_coords": [[0.835, 0.333, 0.168], [0.333, 0.835, 0.168], [0.332, 0.332, 0.664], [0.750, 0.250, 0.500], [0.668, 0.668, 0.336], [0.667, 0.165, 0.832], [0.165, 0.667, 0.832], [0.250, 0.750, 0.500], [0.166, 0.166, 0.333], [0.834, 0.834, 0.667], [0.746, 0.746, 0.000], [0.254, 0.254, 0.000]],
  "e_above_lowest_polymorph_mev_per_atom": 32.9,
  "formation_enthalpy_0k_kj_per_mol_fu": -208,
  "sg": "No. 69"
}



no.,E (eV per cell)
1,-53.12
2,-47.29
3,-64.15
4,-21.99
5,-19.52
6,-15.43
7,-36.43
8,-32.71
9,-41.38
10,-19.17
11,-35.67
12,-48.90